1.
# CsHgMo3 (PBE, relaxed)
data_CsHgMo3
_symmetry_space_group_name_H-M 'P m -3 m'
_symmetry_Int_Tables_number 221
_symmetry_space_group_name_Hall '-P 4 2 3'
_cell_length_a 4.916
_cell_length_b 4.916
_cell_length_c 4.916
_cell_angle_alpha 90.00
_cell_angle_beta 90.00
_cell_angle_gamma 90.00
loop_
_atom_site_label
_atom_site_type_symbol
_atom_site_fract_x
_atom_site_fract_y
_atom_site_fract_z
Cs1 Cs 0.000 0.000 0.000
Hg1 Hg 0.500 0.500 0.500
Mo1 Mo 0.000 0.000 0.500
# D(E_F): 6.3 states/eV per cell
# ρ: 8.7 g/cm³
# Uncorrected energy: -3.6396 eV/atom

***

2.
# CsHg2Mo (PBE, relaxed)
data_CsHg2Mo
_symmetry_space_group_name_H-M 'I 41/a m d'
_symmetry_Int_Tables_number 141
_cell_length_a 6.046
_cell_length_b 6.046
_cell_length_c 18.894
_cell_angle_alpha 90.00
_cell_angle_beta 90.00
_cell_angle_gamma 90.00
loop_
_symmetry_equiv_pos_as_xyz
'x,y,z'
'-x,-y,-z'
'-y+1/4,x+3/4,z+1/4'
'y+1/4,-x+3/4,-z+1/4'
'-x+1/2,-y,z+1/2'
'x+1/2,y,-z+1/2'
'y+1/4,-x+1/4,z+3/4'
'-y+1/4,x+1/4,-z+3/4'
'x,-y,-z'
'-x,y,z'
'-y+1/4,-x+1/4,-z+3/4'
'y+1/4,x+1/4,z+3/4'
'-x+1/2,y,-z+1/2'
'x+1/2,-y,z+1/2'
'y+1/4,x+3/4,-z+1/4'
'-y+1/4,-x+3/4,z+1/4'
'x+1/2,y+1/2,z+1/2'
'-x+1/2,-y+1/2,-z+1/2'
'-y+3/4,x+1/4,z+3/4'
'y+3/4,-x+1/4,-z+3/4'
'-x,-y+1/2,z'
'x,y+1/2,-z'
'y+3/4,-x+3/4,z+1/4'
'-y+3/4,x+3/4,-z+1/4'
'x+1/2,-y+1/2,-z+1/2'
'-x+1/2,y+1/2,z+1/2'
'-y+3/4,-x+3/4,-z+1/4'
'y+3/4,x+3/4,z+1/4'
'-x,y+1/2,-z'
'x,-y+1/2,z'
'y+3/4,x+1/4,-z+3/4'
'-y+3/4,-x+1/4,z+3/4'
loop_
_atom_site_label
_atom_site_type_symbol
_atom_site_fract_x
_atom_site_fract_y
_atom_site_fract_z
Cs1 Cs 0.000 0.250 0.375
Hg1 Hg 0.000 0.000 0.000
Mo1 Mo 0.000 0.250 0.875
# D(E_F): 14.8 states/eV per cell
# ρ: 6.1 g/cm³
# Excess energy over the best structure of this formula in the dataset: 0.0 meV per atom
# Uncorrected energy: -2.2686 eV/atom

***

3.
# CsHg2Mo (PBE, relaxed)
data_CsHg2Mo
_symmetry_space_group_name_H-M 'F m -3 m'
_symmetry_Int_Tables_number 225
_symmetry_space_group_name_Hall '-F 4 2 3'
_cell_length_a 8.082
_cell_length_b 8.082
_cell_length_c 8.082
_cell_angle_alpha 90.00
_cell_angle_beta 90.00
_cell_angle_gamma 90.00
loop_
_atom_site_label
_atom_site_type_symbol
_atom_site_fract_x
_atom_site_fract_y
_atom_site_fract_z
Cs1 Cs 0.000 0.000 0.000
Hg1 Hg 0.250 0.250 0.250
Mo1 Mo 0.000 0.000 0.500
# D(E_F): 8.9 states/eV per cell
# ρ: 7.9 g/cm³
# Excess energy over the best structure of this formula in the dataset: 147.5 meV per atom
# Uncorrected energy: -2.1211 eV/atom

***

4.
# CsHg3Mo (PBE, relaxed)
data_CsHg3Mo
_symmetry_space_group_name_H-M 'P m -3 m'
_symmetry_Int_Tables_number 221
_symmetry_space_group_name_Hall '-P 4 2 3'
_cell_length_a 5.577
_cell_length_b 5.577
_cell_length_c 5.577
_cell_angle_alpha 90.00
_cell_angle_beta 90.00
_cell_angle_gamma 90.00
loop_
_atom_site_label
_atom_site_type_symbol
_atom_site_fract_x
_atom_site_fract_y
_atom_site_fract_z
Cs1 Cs 0.000 0.000 0.000
Hg1 Hg 0.000 0.500 0.500
Mo1 Mo 0.500 0.500 0.500
# D(E_F): 3.6 states/eV per cell
# ρ: 8.0 g/cm³
# Uncorrected energy: -2.1359 eV/atom

***

Repeat the third record exactly.
# CsHg2Mo (PBE, relaxed)
data_CsHg2Mo
_symmetry_space_group_name_H-M 'F m -3 m'
_symmetry_Int_Tables_number 225
_symmetry_space_group_name_Hall '-F 4 2 3'
_cell_length_a 8.082
_cell_length_b 8.082
_cell_length_c 8.082
_cell_angle_alpha 90.00
_cell_angle_beta 90.00
_cell_angle_gamma 90.00
loop_
_atom_site_label
_atom_site_type_symbol
_atom_site_fract_x
_atom_site_fract_y
_atom_site_fract_z
Cs1 Cs 0.000 0.000 0.000
Hg1 Hg 0.250 0.250 0.250
Mo1 Mo 0.000 0.000 0.500
# D(E_F): 8.9 states/eV per cell
# ρ: 7.9 g/cm³
# Excess energy over the best structure of this formula in the dataset: 147.5 meV per atom
# Uncorrected energy: -2.1211 eV/atom